Compound: Sr2LiTa2N2O4
Source: Alexandria via LeMat-Bulk
Functional: PBE
Structure: relaxed

Geometry as POSCAR:
```
Sr2LiTa2N2O4
1.0
0.000 4.236 4.091
4.081 0.000 4.091
4.081 4.236 0.000
Sr Li Ta N O
2 1 2 2 4
Direct
0.212 0.788 0.212
0.788 0.212 0.788
0.435 0.435 0.565
0.490 0.978 0.510
0.978 0.490 0.022
0.234 0.234 0.266
0.734 0.734 0.766
0.209 0.209 0.791
0.264 0.705 0.736
0.705 0.264 0.295
0.763 0.763 0.237
```

As for the raw formation energy: -1975 meV per atom. Its distance to the lowest polymorph of the same formula is 64 meV per atom. The density of states at the Fermi level is 1.585 states/eV/cell. The calculated density is 7469 kg/m3. Its total magnetic moment is 0.0 μB/cell.

***

Compound: Sr2LiTa2N2O4
Source: Alexandria via LeMat-Bulk
Functional: PBE
Structure: relaxed

Geometry as POSCAR:
```
Sr2LiTa2N2O4
1.0
4.122 -4.061 0.000
4.122 4.061 0.000
-4.114 0.000 4.220
Sr Li Ta N O
2 1 2 2 4
Direct
0.200 0.200 0.408
0.800 0.800 0.592
0.500 0.500 0.000
0.000 0.500 0.000
0.500 0.000 0.000
0.251 0.749 0.000
0.749 0.251 0.000
0.234 0.766 0.500
0.267 0.267 0.028
0.733 0.733 0.972
0.766 0.234 0.500
```

As for the raw formation energy: -2040 meV per atom. Its distance to the lowest polymorph of the same formula is 0 meV per atom. The density of states at the Fermi level is 2.389 states/eV/cell. The calculated density is 7477 kg/m3. Its total magnetic moment is 0.0 μB/cell.

***

Compound: LiTaNO2
Source: Alexandria via LeMat-Bulk
Functional: PBE
Structure: relaxed

Geometry as POSCAR:
```
LiTaNO2
1.0
3.976 0.000 0.000
0.000 3.976 0.000
0.000 0.000 4.073
Li Ta N O
1 1 1 2
Direct
0.000 0.000 0.000
0.500 0.500 0.500
0.500 0.500 0.000
0.000 0.500 0.500
0.500 0.000 0.500
```

As for the raw formation energy: -1564 meV per atom. The density of states at the Fermi level is 2.638 states/eV/cell. The calculated density is 6033 kg/m3. Its total magnetic moment is 1.0 μB/cell.

***

Compound: LiTaNO2
Source: Alexandria via LeMat-Bulk
Functional: PBE
Structure: relaxed

Geometry as POSCAR:
```
LiTaNO2
1.0
3.400 0.000 0.000
0.000 3.400 0.000
0.000 0.000 3.620
Li Ta N O
1 1 1 2
Direct
0.000 0.000 0.000
0.500 0.500 0.500
0.000 0.000 0.500
0.000 0.500 0.000
0.500 0.000 0.000
```

As for the raw formation energy: -382 meV per atom. The density of states at the Fermi level is 1.469 states/eV/cell. The calculated density is 9280 kg/m3. Its total magnetic moment is 1.0 μB/cell.

***

Compound: LiTcNO2
Source: Alexandria via LeMat-Bulk
Functional: PBE
Structure: relaxed

Geometry as POSCAR:
```
LiTcNO2
1.0
3.424 0.000 0.000
0.000 3.424 0.000
0.000 0.000 3.610
Li Tc N O
1 1 1 2
Direct
0.000 0.000 0.000
0.500 0.500 0.500
0.000 0.000 0.500
0.000 0.500 0.000
0.500 0.000 0.000
```

As for the raw formation energy: 649 meV per atom. The density of states at the Fermi level is 5.083 states/eV/cell. The calculated density is 5922 kg/m3. Its total magnetic moment is 0.0 μB/cell.

***

Compound: LiTcNO2
Source: Alexandria via LeMat-Bulk
Functional: PBE
Structure: relaxed

Geometry as POSCAR:
```
LiTcNO2
1.0
3.875 0.000 0.000
0.000 3.875 0.000
0.000 0.000 3.825
Li Tc N O
1 1 1 2
Direct
0.000 0.000 0.000
0.500 0.500 0.500
0.500 0.500 0.000
0.000 0.500 0.500
0.500 0.000 0.500
```

As for the raw formation energy: -847 meV per atom. The density of states at the Fermi level is 1.472 states/eV/cell. The calculated density is 4365 kg/m3. Its total magnetic moment is 0.0 μB/cell.